BaAcW2O8 | PBE with a Hubbard U | optimized geometry

The calculation puts the total magnetization at 0.0 μB per formula unit. As for the calculated density: 5.473 g/cm3. The calculation puts the calculated total energy at -0.5407 Ry/atom. Its calculated volume is 21.74 A^3/atom.

The structure belongs to space group P-3m1 (No. 164); the cell edges are 6.0234, 6.0234 and 8.3044 Å and the angles 90.00°, 90.00° and 120.00°. The asymmetric unit holds Ba at (0.0000, 0.0000, 0.0000), Ac at (0.0000, 0.0000, 0.5000), W at (0.3333, 0.6667, 0.7824), O at (0.1633, 0.3266, 0.7273) and O at (0.3333, 0.6667, 0.9984).